This record from Alexandria via LeMat-Bulk describes a relaxed structure of Li3Cd7In2. The functional is PBE-GGA.

## Properties
- DFT formation energy (eV/atom) = -0.1539
- raw total energy (eV per formula unit) = -19.5
- E above lowest polymorph (meV per atom) = 0
- DOS at the Fermi energy (states/eV per atom) = 0.29

Cell and atoms, written as CIF:
```
data_Li3Cd7In2
_space_group_name_H-M_alt 'C 1 2/m 1'
_space_group_IT_number 12
_cell_length_a 6.225
_cell_length_b 6.462
_cell_length_c 12.977
_cell_angle_alpha 90.00
_cell_angle_beta 101.65
_cell_angle_gamma 90.00
loop_
_space_group_symop_operation_xyz
'x,y,z'
'-x,-y,-z'
'-x,y,-z'
'x,-y,z'
'x+1/2,y+1/2,z'
'-x+1/2,-y+1/2,-z'
'-x+1/2,y+1/2,-z'
'x+1/2,-y+1/2,z'
loop_
_atom_site_label
_atom_site_type_symbol
_atom_site_fract_x
_atom_site_fract_y
_atom_site_fract_z
_atom_site_occupancy
Li1 Li 0.000 0.000 0.000 1
Li2 Li 0.164 0.500 0.332 1
Cd1 Cd 0.000 0.255 0.500 1
Cd2 Cd 0.000 0.500 0.000 1
Cd3 Cd 0.170 0.246 0.836 1
In1 In 0.164 0.000 0.332 1
```



This record from Alexandria via LeMat-Bulk describes a relaxed structure of Li5Cd2In12. The functional is PBE-GGA.

## Properties
- DFT formation energy (eV/atom) = -0.0391
- raw total energy (eV per formula unit) = -45.0
- E above lowest polymorph (meV per atom) = 23
- DOS at the Fermi energy (states/eV per atom) = 0.43

Cell and atoms, written as CIF:
```
data_Li5Cd2In12
_space_group_name_H-M_alt 'C 1 2/m 1'
_space_group_IT_number 12
_cell_length_a 16.506
_cell_length_b 6.097
_cell_length_c 9.741
_cell_angle_alpha 90.00
_cell_angle_beta 104.44
_cell_angle_gamma 90.00
loop_
_space_group_symop_operation_xyz
'x,y,z'
'-x,-y,-z'
'-x,y,-z'
'x,-y,z'
'x+1/2,y+1/2,z'
'-x+1/2,-y+1/2,-z'
'-x+1/2,y+1/2,-z'
'x+1/2,-y+1/2,z'
loop_
_atom_site_label
_atom_site_type_symbol
_atom_site_fract_x
_atom_site_fract_y
_atom_site_fract_z
_atom_site_occupancy
Li1 Li 0.000 0.000 0.000 1
Li2 Li 0.128 0.500 0.378 1
Li3 Li 0.208 0.500 0.902 1
Cd1 Cd 0.000 0.252 0.500 1
In1 In 0.026 0.500 0.831 1
In2 In 0.098 0.000 0.795 1
In3 In 0.142 0.252 0.122 1
In4 In 0.206 0.251 0.623 1
```



This record from Alexandria via LeMat-Bulk describes a relaxed structure of LiCd3In. The functional is PBE-GGA.

## Properties
- DFT formation energy (eV/atom) = 0.1753
- raw total energy (eV per formula unit) = -6.5
- E above lowest polymorph (meV per atom) = 270
- DOS at the Fermi energy (states/eV per atom) = 0.58

Cell and atoms, written as CIF:
```
data_LiCd3In
_space_group_name_H-M_alt 'P m -3 m'
_space_group_IT_number 221
_space_group_name_Hall '-P 4 2 3'
_cell_length_a 5.012
_cell_length_b 5.012
_cell_length_c 5.012
_cell_angle_alpha 90.00
_cell_angle_beta 90.00
_cell_angle_gamma 90.00
loop_
_atom_site_label
_atom_site_type_symbol
_atom_site_fract_x
_atom_site_fract_y
_atom_site_fract_z
_atom_site_occupancy
Li1 Li 0.000 0.000 0.000 1
Cd1 Cd 0.000 0.000 0.500 1
In1 In 0.500 0.500 0.500 1
```



This record from Alexandria via LeMat-Bulk describes a relaxed structure of LiCd2In2. The functional is PBE-GGA.

## Properties
- DFT formation energy (eV/atom) = 0.0173
- raw total energy (eV per formula unit) = -9.1
- E above lowest polymorph (meV per atom) = 33
- DOS at the Fermi energy (states/eV per atom) = 0.35

Cell and atoms, written as CIF:
```
data_LiCd2In2
_space_group_name_H-M_alt 'I 4/m m m'
_space_group_IT_number 139
_space_group_name_Hall '-I 4 2'
_cell_length_a 4.351
_cell_length_b 4.351
_cell_length_c 13.679
_cell_angle_alpha 90.00
_cell_angle_beta 90.00
_cell_angle_gamma 90.00
loop_
_atom_site_label
_atom_site_type_symbol
_atom_site_fract_x
_atom_site_fract_y
_atom_site_fract_z
_atom_site_occupancy
Li1 Li 0.000 0.000 0.000 1
Cd1 Cd 0.000 0.500 0.250 1
In1 In 0.000 0.000 0.398 1
```